Entry 1:
This record from Alexandria describes a relaxed KBH4 crystal. The functional is PBEsol.

Results
Density of states at the Fermi level   0.00 states/eV/cell
E   -47.2 eV per cell
SG   P4_2/nmc (137)

Cell lengths 4.593, 4.593, 6.472 Å; angles 90.00, 90.00, 90.00 degrees
Fractional positions:
B  0.500  0.500  0.000
B  0.000  0.000  0.500
K  0.500  0.500  0.500
K  0.000  0.000  0.000
H  0.219  0.000  0.390
H  0.500  0.719  0.890
H  0.781  0.000  0.390
H  0.281  0.500  0.110
H  0.719  0.500  0.110
H  0.000  0.219  0.610
H  0.000  0.781  0.610
H  0.500  0.281  0.890

Entry 2:
This record from Alexandria describes a relaxed Ca2Al3H3O8 crystal. The functional is PBEsol.

Results
Density of states at the Fermi level   0.00 states/eV/cell
E   -436.3 eV per cell
SG   Cmce (64)

Cell lengths 7.792, 7.792, 12.325 Å; angles 90.00, 90.00, 111.18 degrees
Fractional positions:
Al  0.744  0.988  0.628
Al  0.012  0.256  0.372
Al  0.244  0.488  0.872
Al  0.135  0.635  0.250
Al  0.988  0.744  0.628
Al  0.865  0.365  0.750
Al  0.635  0.135  0.250
Al  0.256  0.012  0.372
Al  0.512  0.756  0.128
Al  0.365  0.865  0.750
Al  0.756  0.512  0.128
Al  0.488  0.244  0.872
Ca  0.360  0.640  0.500
Ca  0.783  0.783  0.350
Ca  0.717  0.717  0.850
Ca  0.283  0.283  0.150
Ca  0.140  0.860  0.000
Ca  0.217  0.217  0.650
Ca  0.860  0.140  0.000
Ca  0.640  0.360  0.500
O  0.414  0.138  0.275
O  0.909  0.649  0.496
O  0.713  0.271  0.131
O  0.469  0.469  0.612
O  0.409  0.149  0.004
O  0.287  0.729  0.869
O  0.213  0.771  0.369
O  0.787  0.229  0.631
O  0.031  0.031  0.112
O  0.138  0.414  0.275
O  0.914  0.638  0.225
O  0.149  0.409  0.004
O  0.548  0.548  0.147
O  0.862  0.586  0.725
O  0.952  0.952  0.647
O  0.638  0.914  0.225
O  0.851  0.591  0.996
O  0.969  0.969  0.888
O  0.048  0.048  0.353
O  0.271  0.713  0.131
O  0.771  0.213  0.369
O  0.531  0.531  0.388
O  0.452  0.452  0.853
O  0.091  0.351  0.504
O  0.586  0.862  0.725
O  0.362  0.086  0.775
O  0.351  0.091  0.504
O  0.086  0.362  0.775
O  0.649  0.909  0.496
O  0.229  0.787  0.631
O  0.591  0.851  0.996
O  0.729  0.287  0.869
H  0.512  0.512  0.685
H  0.325  0.980  0.552
H  0.488  0.488  0.315
H  0.520  0.175  0.052
H  0.175  0.520  0.052
H  0.480  0.825  0.948
H  0.988  0.988  0.185
H  0.020  0.675  0.448
H  0.825  0.480  0.948
H  0.012  0.012  0.815
H  0.675  0.020  0.448
H  0.980  0.325  0.552

Entry 3:
This record from Alexandria describes a relaxed SrAg2Hg crystal. The functional is PBEsol.

Results
ΔH_f (0 K)   -261 meV per atom
Density of states at the Fermi level   1.66 states/eV/cell
E   -10.1 eV per cell
SG   Cm (8)

Cell lengths 4.733, 4.723, 5.794 Å; angles 114.24, 90.00, 120.07 degrees
Fractional positions:
Ag  0.265  0.530  0.794
Ag  0.955  0.909  0.864
Sr  0.746  0.491  0.237
Hg  0.535  0.069  0.604